1.
Below is crystalline Ca3TlP at its relaxed geometry, with properties calculated at the PBE-GGA level.

- Energy relative to the elements: -0.651 eV per atom
- Distance to the lowest polymorph of the same formula: 69.1 meV per atom

Unit cell a=7.6696 b=7.6696 c=7.6696 alpha=60.76 beta=60.76 gamma=60.76
Fractional positions:
P (0.9964, 0.9964, 0.9964)
P (0.4964, 0.4964, 0.4964)
Tl (0.2464, 0.2464, 0.2464)
Tl (0.7464, 0.7464, 0.7464)
Ca (0.2462, 0.8097, 0.6830)
Ca (0.3097, 0.7462, 0.1830)
Ca (0.1830, 0.3097, 0.7462)
Ca (0.7462, 0.1830, 0.3097)
Ca (0.8097, 0.6830, 0.2462)
Ca (0.6830, 0.2462, 0.8097)

---

2.
Below is crystalline KSb2Te at its relaxed geometry, with properties calculated at the PBE-GGA level.

- E_form (uncorrected): -0.18 eV per atom

Unit cell a=6.1550 b=3.2509 c=6.3169 alpha=89.93 beta=90.00 gamma=90.00
Fractional positions:
K (0.5000, 0.7500, 0.7500)
Sb (0.0000, 0.2510, 0.0188)
Sb (0.0000, 0.2490, 0.4812)
Te (0.5000, 0.2500, 0.2500)

---

3.
Below is crystalline Sm4AlZn2Cu at its relaxed geometry, with properties calculated at the PBE-GGA level.

- Energy relative to the elements: -0.291 eV per atom

Unit cell a=5.1282 b=5.1282 c=8.9000 alpha=73.26 beta=73.26 gamma=60.00
Fractional positions:
Sm (0.3782, 0.3782, 0.8655)
Sm (0.8723, 0.8723, 0.3831)
Sm (0.1277, 0.1277, 0.6169)
Sm (0.6218, 0.6218, 0.1345)
Al (0.0000, 0.0000, 0.0000)
Zn (0.7461, 0.7461, 0.7618)
Zn (0.2539, 0.2539, 0.2382)
Cu (0.5000, 0.5000, 0.5000)

---

4.
Below is crystalline NbV2Co2 at its relaxed geometry, with properties calculated at the PBE-GGA level.

- Energy relative to the elements: -0.062 eV per atom
- Distance to the lowest polymorph of the same formula: 0.0 meV per atom

Unit cell a=7.0015 b=7.0015 c=2.6981 alpha=90.00 beta=90.00 gamma=90.00
Fractional positions:
Nb (0.0000, 0.0000, 0.0000)
Nb (0.5000, 0.5000, 0.0000)
Co (0.3705, 0.8705, 0.0000)
Co (0.8705, 0.6295, 0.0000)
Co (0.6295, 0.1295, 0.0000)
Co (0.1295, 0.3705, 0.0000)
V (0.1631, 0.6631, 0.5000)
V (0.6631, 0.8369, 0.5000)
V (0.8369, 0.3369, 0.5000)
V (0.3369, 0.1631, 0.5000)

---

5.
Below is crystalline SrLa2SiPd at its relaxed geometry, with properties calculated at the PBE-GGA level.

- E_form (uncorrected): 0.06 eV per atom

Unit cell a=5.6873 b=5.8089 c=5.6873 alpha=90.00 beta=90.00 gamma=90.00
Fractional positions:
Sr (0.0000, 0.5000, 0.0000)
Si (0.0000, 0.0000, 0.0000)
Pd (0.5000, 0.5000, 0.5000)
La (0.0000, 0.0000, 0.5000)
La (0.5000, 0.0000, 0.0000)

---

6.
Below is crystalline Ti5Re4Os at its relaxed geometry, with properties calculated at the PBE-GGA level.

- Energy relative to the elements: -0.460 eV per atom

Unit cell a=3.1105 b=3.1105 c=15.5597 alpha=90.00 beta=90.00 gamma=90.00
Fractional positions:
Ti (0.5000, 0.5000, 0.0993)
Ti (0.5000, 0.5000, 0.2992)
Ti (0.5000, 0.5000, 0.5000)
Ti (0.5000, 0.5000, 0.7008)
Ti (0.5000, 0.5000, 0.9007)
Re (0.0000, 0.0000, 0.1993)
Re (0.0000, 0.0000, 0.3997)
Re (0.0000, 0.0000, 0.6003)
Re (0.0000, 0.0000, 0.8007)
Os (0.0000, 0.0000, 0.0000)

---

7.
Below is crystalline Mg2In2Se at its relaxed geometry, with properties calculated at the PBE-GGA level.

- E_form (uncorrected): -0.23 eV per atom

Unit cell a=7.0836 b=7.0836 c=5.0402 alpha=90.00 beta=90.00 gamma=90.00
Fractional positions:
Mg (0.3492, 0.8492, 0.0000)
Mg (0.8492, 0.6508, 0.0000)
Mg (0.6508, 0.1508, 0.0000)
Mg (0.1508, 0.3492, 0.0000)
Se (0.0000, 0.0000, 0.0000)
Se (0.5000, 0.5000, 0.0000)
In (0.1509, 0.6509, 0.5000)
In (0.6509, 0.8491, 0.5000)
In (0.8491, 0.3491, 0.5000)
In (0.3491, 0.1509, 0.5000)

---

8.
Below is crystalline Dy5Ho5Er2 at its relaxed geometry, with properties calculated at the PBE-GGA level.

- Energy relative to the elements: 0.019 eV per atom

Unit cell a=4.9793 b=7.8681 c=11.1269 alpha=115.09 beta=90.00 gamma=108.45
Fractional positions:
Dy (0.1664, 0.3327, 0.4999)
Dy (0.7498, 0.4996, 0.7501)
Dy (0.2502, 0.5004, 0.2499)
Dy (0.8336, 0.6673, 0.5001)
Dy (0.0000, 0.0000, 0.0000)
Ho (0.5000, 0.0000, 0.5000)
Ho (0.6668, 0.3337, 0.0001)
Ho (0.5830, 0.1661, 0.2500)
Ho (0.4170, 0.8339, 0.7500)
Ho (0.3332, 0.6663, 0.9999)
Er (0.0834, 0.1667, 0.7504)
Er (0.9166, 0.8333, 0.2496)

---

9.
Below is crystalline CsMg3Te3 at its relaxed geometry, with properties calculated at the PBE-GGA level.

- E_form (uncorrected): -0.75 eV per atom

Unit cell a=5.2511 b=8.4658 c=12.5737 alpha=82.00 beta=77.95 gamma=71.93
Fractional positions:
Cs (0.3721, 0.5634, 0.6924)
Cs (0.6279, 0.4366, 0.3076)
Mg (0.3199, 0.9397, 0.4206)
Mg (0.6801, 0.0603, 0.5794)
Mg (0.3349, 0.3144, 0.0158)
Mg (0.6651, 0.6856, 0.9842)
Mg (0.9312, 0.9217, 0.2160)
Mg (0.0688, 0.0783, 0.7840)
Te (0.1128, 0.2176, 0.5568)
Te (0.8872, 0.7824, 0.4432)
Te (0.3657, 0.0716, 0.1970)
Te (0.6343, 0.9284, 0.8030)
Te (0.8678, 0.3432, 0.9211)
Te (0.1322, 0.6568, 0.0789)

---

10.
Below is crystalline ReNi2Os at its relaxed geometry, with properties calculated at the PBE-GGA level.

- Energy relative to the elements: 0.091 eV per atom
- Distance to the lowest polymorph of the same formula: 82.6 meV per atom

Unit cell a=2.6837 b=2.6837 c=7.1639 alpha=90.00 beta=90.00 gamma=90.00
Fractional positions:
Ni (0.0000, 0.0000, 0.0088)
Ni (0.5000, 0.5000, 0.2420)
Os (0.0000, 0.0000, 0.4882)
Re (0.5000, 0.5000, 0.7610)

---

11.
Below is crystalline CsNdPb2I8 at its relaxed geometry, with properties calculated at the PBE-GGA level.

- E_form (uncorrected): -1.00 eV per atom

Unit cell a=7.9182 b=7.5260 c=10.0950 alpha=89.74 beta=89.80 gamma=88.60
Fractional positions:
Cs (0.0000, 0.0000, 0.5000)
Nd (0.0000, 0.0000, 0.0000)
Pb (0.5001, 0.4995, 0.7478)
Pb (0.4999, 0.5005, 0.2522)
I (0.1555, 0.7413, 0.2121)
I (0.6701, 0.7612, 0.0000)
I (0.8427, 0.2571, 0.2113)
I (0.8445, 0.2587, 0.7879)
I (0.3299, 0.2388, 0.0000)
I (0.1573, 0.7429, 0.7887)
I (0.6090, 0.7341, 0.4984)
I (0.3910, 0.2659, 0.5016)

---

12.
Below is crystalline Y2BiIr at its relaxed geometry, with properties calculated at the PBE-GGA level.

- Energy relative to the elements: -0.712 eV per atom

Unit cell a=3.5175 b=3.5175 c=8.0930 alpha=90.00 beta=90.00 gamma=90.00
Fractional positions:
Y (0.0000, 0.0000, 0.7962)
Y (0.0000, 0.0000, 0.2038)
Ir (0.5000, 0.5000, 0.0000)
Bi (0.5000, 0.5000, 0.5000)

---

13.
Below is crystalline Ac2PmMg3Hg6 at its relaxed geometry, with properties calculated at the PBE-GGA level.

- Energy relative to the elements: -0.238 eV per atom

Unit cell a=4.6795 b=4.6795 c=15.4246 alpha=90.00 beta=90.00 gamma=90.00
Fractional positions:
Ac (0.5000, 0.5000, 0.1361)
Ac (0.5000, 0.5000, 0.8639)
Pm (0.5000, 0.5000, 0.5000)
Mg (0.0000, 0.0000, 0.4113)
Mg (0.0000, 0.0000, 0.5887)
Mg (0.0000, 0.0000, 0.0000)
Hg (0.0000, 0.5000, 0.6847)
Hg (0.5000, 0.0000, 0.3153)
Hg (0.5000, 0.0000, 0.6847)
Hg (0.0000, 0.0000, 0.1842)
Hg (0.0000, 0.5000, 0.3153)
Hg (0.0000, 0.0000, 0.8158)

---

14.
Below is crystalline BSeS4 at its relaxed geometry, with properties calculated at the PBE-GGA level.

- E_form (uncorrected): 0.11 eV per atom

Unit cell a=8.7881 b=9.9261 c=10.3763 alpha=153.73 beta=90.00 gamma=90.00
Fractional positions:
B (0.0000, 0.5000, 0.0000)
B (0.0000, 0.0000, 0.0000)
Se (0.3610, 0.7500, 0.5000)
Se (0.6390, 0.2500, 0.5000)
S (0.4785, 0.6438, 0.8210)
S (0.4785, 0.8562, 0.1790)
S (0.0929, 0.2735, 0.3148)
S (0.0929, 0.2265, 0.6852)
S (0.9071, 0.7265, 0.6852)
S (0.9071, 0.7735, 0.3148)
S (0.5215, 0.1438, 0.8210)
S (0.5215, 0.3562, 0.1790)

---

15.
Below is crystalline Ti4Mo2Pt at its relaxed geometry, with properties calculated at the PBE-GGA level.

- Energy relative to the elements: -0.197 eV per atom

Unit cell a=5.3918 b=5.3918 c=5.3918 alpha=107.99 beta=110.22 gamma=110.22
Fractional positions:
Ti (0.5000, 0.0000, 0.0000)
Ti (0.5000, 0.5000, 0.5000)
Ti (0.0000, 0.0000, 0.5000)
Ti (0.0000, 0.5000, 0.0000)
Mo (0.5000, 0.5000, 0.0000)
Mo (0.5000, 0.0000, 0.5000)
Pt (0.0000, 0.0000, 0.0000)

---

16.
Below is crystalline Th2MnTe at its relaxed geometry, with properties calculated at the PBE-GGA level.

- E_form (uncorrected): 0.27 eV per atom

Unit cell a=3.7325 b=3.7325 c=9.9039 alpha=79.14 beta=79.14 gamma=60.00
Fractional positions:
Mn (0.0000, 0.0000, 0.0000)
Te (0.5000, 0.5000, 0.5000)
Th (0.0843, 0.0843, 0.7471)
Th (0.9157, 0.9157, 0.2529)

---

17.
Below is crystalline Tb2SnGe at its relaxed geometry, with properties calculated at the PBE-GGA level.

- Energy relative to the elements: -0.647 eV per atom

Unit cell a=3.3920 b=3.3920 c=8.5820 alpha=90.00 beta=90.00 gamma=90.00
Fractional positions:
Ge (0.5000, 0.5000, 0.0000)
Tb (0.0000, 0.0000, 0.7732)
Tb (0.0000, 0.0000, 0.2268)
Sn (0.5000, 0.5000, 0.5000)

---

18.
Below is crystalline Mn2Al2Tc at its relaxed geometry, with properties calculated at the PBE-GGA level.

- Energy relative to the elements: -0.031 eV per atom
- Distance to the lowest polymorph of the same formula: 0.0 meV per atom

Unit cell a=6.9067 b=6.9067 c=2.8455 alpha=90.00 beta=90.00 gamma=90.00
Fractional positions:
Mn (0.1645, 0.6645, 0.5000)
Mn (0.6645, 0.8355, 0.5000)
Mn (0.8355, 0.3355, 0.5000)
Mn (0.3355, 0.1645, 0.5000)
Tc (0.0000, 0.0000, 0.0000)
Tc (0.5000, 0.5000, 0.0000)
Al (0.3656, 0.8656, 0.0000)
Al (0.8656, 0.6344, 0.0000)
Al (0.6344, 0.1344, 0.0000)
Al (0.1344, 0.3656, 0.0000)

---

19.
Below is crystalline TlReCl2 at its relaxed geometry, with properties calculated at the PBE-GGA level.

- E_form (uncorrected): 0.26 eV per atom
- Distance to the lowest polymorph of the same formula: 165.9 meV per atom

Unit cell a=8.6802 b=8.6802 c=8.6802 alpha=22.95 beta=22.95 gamma=22.95
Fractional positions:
Re (0.5066, 0.5066, 0.5066)
Tl (0.7572, 0.7572, 0.7572)
Cl (0.0124, 0.0124, 0.0124)
Cl (0.2237, 0.2237, 0.2237)

---

20.
Below is crystalline TiCuNF2 at its relaxed geometry, with properties calculated at the PBE-GGA level.

- E_form (uncorrected): -1.33 eV per atom
- Distance to the lowest polymorph of the same formula: 0.0 meV per atom

Unit cell a=3.9287 b=3.9287 c=3.9409 alpha=90.00 beta=90.00 gamma=90.00
Fractional positions:
N (0.0000, 0.0000, 0.5000)
F (0.0000, 0.5000, 0.0000)
F (0.5000, 0.0000, 0.0000)
Cu (0.5000, 0.5000, 0.5000)
Ti (0.0000, 0.0000, 0.0000)

---

21.
Below is crystalline CdCu2Re at its relaxed geometry, with properties calculated at the PBE-GGA level.

- Energy relative to the elements: 0.473 eV per atom

Unit cell a=2.6953 b=3.8087 c=5.7913 alpha=90.00 beta=90.00 gamma=90.00
Fractional positions:
Cd (0.5000, 0.5000, 0.7646)
Cu (0.0000, 0.0000, 0.0205)
Cu (0.5000, 0.5000, 0.2479)
Re (0.0000, 0.0000, 0.4669)

---

22.
Below is crystalline Ac3Al2O7 at its relaxed geometry, with properties calculated at the PBE-GGA level.

- E_form (uncorrected): -3.12 eV per atom
- Distance to the lowest polymorph of the same formula: 0.0 meV per atom

Unit cell a=3.8780 b=3.8780 c=10.7859 alpha=100.36 beta=100.36 gamma=90.00
Fractional positions:
Ac (0.3142, 0.3142, 0.6284)
Ac (0.6858, 0.6858, 0.3716)
Ac (0.5000, 0.5000, 0.0000)
Al (0.0938, 0.0938, 0.1875)
Al (0.9062, 0.9062, 0.8125)
O (0.0000, 0.0000, 0.0000)
O (0.9067, 0.4067, 0.8135)
O (0.4067, 0.9067, 0.8135)
O (0.0933, 0.5933, 0.1865)
O (0.5933, 0.0933, 0.1865)
O (0.1885, 0.1885, 0.3770)
O (0.8115, 0.8115, 0.6230)

---

23.
Below is crystalline NpNb2B at its relaxed geometry, with properties calculated at the PBE-GGA level.

- Energy relative to the elements: 0.220 eV per atom

Unit cell a=3.1138 b=3.1138 c=8.6918 alpha=79.68 beta=79.68 gamma=60.00
Fractional positions:
Np (0.0000, 0.0000, 0.0000)
Nb (0.1156, 0.1156, 0.6533)
Nb (0.8844, 0.8844, 0.3467)
B (0.5000, 0.5000, 0.5000)

---

24.
Below is crystalline V2CrCu at its relaxed geometry, with properties calculated at the PBE-GGA level.

- Energy relative to the elements: 0.066 eV per atom

Unit cell a=2.9729 b=2.9729 c=5.7350 alpha=90.00 beta=90.00 gamma=90.00
Fractional positions:
Cr (0.5000, 0.5000, 0.0000)
Cu (0.5000, 0.5000, 0.5000)
V (0.0000, 0.0000, 0.7635)
V (0.0000, 0.0000, 0.2365)

---

25.
Below is crystalline Zr2ScAu2 at its relaxed geometry, with properties calculated at the PBE-GGA level.

- Energy relative to the elements: -0.275 eV per atom
- Distance to the lowest polymorph of the same formula: 195.1 meV per atom

Unit cell a=7.9557 b=7.9557 c=3.3802 alpha=90.00 beta=90.00 gamma=90.00
Fractional positions:
Sc (0.0000, 0.0000, 0.0000)
Sc (0.5000, 0.5000, 0.0000)
Au (0.1338, 0.6338, 0.5000)
Au (0.6338, 0.8662, 0.5000)
Au (0.8662, 0.3662, 0.5000)
Au (0.3662, 0.1338, 0.5000)
Zr (0.3359, 0.8359, 0.0000)
Zr (0.8359, 0.6641, 0.0000)
Zr (0.6641, 0.1641, 0.0000)
Zr (0.1641, 0.3359, 0.0000)